# 1
VASP calculation (PBE) on a relaxed structure of Dy2TmSn.

abc: 3.489 3.489 12.032
angles: 81.66 81.66 60.00
Atoms (fractional coordinates):
Dy 0.088 0.088 0.737
Dy 0.912 0.912 0.263
Tm 0.500 0.500 0.500
Sn 0.000 0.000 0.000

Properties
- ΔE_f (eV per atom) = 0.044
- offset from the most stable computed form (kJ per mole of atoms) = 43.7
- Fermi-level density of states (states/eV/f.u.) = 4.00

# 2
VASP calculation (PBE) on a relaxed structure of Dy3Tm2Sn3.

abc: 6.493 8.918 8.918
angles: 120.00 90.00 90.00
Atoms (fractional coordinates):
Dy 0.750 0.000 0.238
Dy 0.250 0.762 0.000
Dy 0.750 0.762 0.762
Dy 0.250 0.238 0.238
Dy 0.750 0.238 0.000
Dy 0.250 0.000 0.762
Sn 0.250 0.000 0.396
Sn 0.750 0.396 0.396
Sn 0.750 0.000 0.604
Sn 0.250 0.396 0.000
Sn 0.250 0.604 0.604
Sn 0.750 0.604 0.000
Tm 0.000 0.667 0.333
Tm 0.000 0.333 0.667
Tm 0.500 0.667 0.333
Tm 0.500 0.333 0.667

Properties
- ΔE_f (eV per atom) = -0.722
- Fermi-level density of states (states/eV/f.u.) = 4.98

# 3
VASP calculation (PBE) on a relaxed structure of DyTmSn.

abc: 3.320 3.320 8.976
angles: 100.66 100.66 90.00
Each line ends with the local moment (μB).
Atoms (fractional coordinates):
Dy 0.944 0.944 0.887  0.06
Sn 0.766 0.766 0.532  0.00
Tm 0.140 0.140 0.281  -0.05

Properties
- ΔE_f (eV per atom) = 0.181
- offset from the most stable computed form (kJ per mole of atoms) = 73.5
- Fermi-level density of states (states/eV/f.u.) = 4.52